Density functional theory data (PBE+U) for a relaxed structure of Rb2BaFeF6.

Calculated values
Its excess energy over the best structure of this formula in the dataset is 131 meV/atom. For the magnetization, the calculation gives 4.00 μB per formula unit.

Cell lengths 6.578, 6.578, 6.578 Å; angles 120.26, 120.26, 89.55 degrees
Sites, in units of the cell vectors:
Rb 0.250 0.750 0.500
Rb 0.750 0.250 0.500
Ba 0.000 0.000 0.000
Fe 0.500 0.500 0.000
F 0.272 0.272 0.000
F 0.275 0.275 0.549
F 0.275 0.725 0.000
F 0.725 0.275 0.000
F 0.725 0.725 0.451
F 0.728 0.728 0.000